Record 1
6
Lattice="3.378 0.000 0.000 -1.689 2.925 0.000 0.000 0.000 9.250" Properties=species:S:1:pos:R:3 comment="Rb2NiH3 | OQMD via LeMat-Bulk | GGA-PBE | optimized geometry" sg=P-3m1 energy_ry_per_atom=-0.1915 pbc="T T T"
H 0.000 1.950 0.564
H 0.000 0.000 4.625
Ni 0.000 0.000 0.000
Rb 1.689 0.975 2.748
H 1.689 0.975 8.687
Rb 0.000 1.950 6.503


Record 2
8
Lattice="6.394 0.000 0.000 -1.611 6.752 0.000 -1.893 -3.622 5.885" Properties=species:S:1:pos:R:3 comment="CuAgCl6 | OQMD via LeMat-Bulk | GGA-PBE | optimized geometry" sg=P-1 energy_ry_per_atom=-0.1827 pbc="T T T"
Ag -0.806 3.376 0.000
Cl -1.877 1.903 4.943
Cl 2.393 -0.824 2.924
Cl -0.897 -1.768 5.112
Cl 3.787 4.898 0.773
Cl 4.767 1.227 0.942
Cl 0.496 3.954 2.961
Cu 0.000 0.000 0.000


Record 3
9
Lattice="4.589 0.000 0.000 0.000 6.397 3.674 0.000 -6.397 3.674" Properties=species:S:1:pos:R:3 comment="TbEr2Mg3Al2In | OQMD via LeMat-Bulk | GGA-PBE | optimized geometry" sg=Amm2 energy_ry_per_atom=-0.2583 pbc="T T T"
Mg 2.295 4.823 2.770
Er 0.000 -3.595 5.279
Mg 2.295 -4.823 2.770
Al 2.295 -2.145 3.671
In 0.000 0.000 0.017
Tb 0.000 0.000 4.125
Al 2.295 2.145 3.671
Mg 2.295 0.000 1.809
Er 0.000 3.595 5.279


Record 4
9
Lattice="6.914 0.000 0.000 0.000 4.238 0.000 0.000 0.000 4.238" Properties=species:S:1:pos:R:3 comment="Dy2Sn2O5 | OQMD via LeMat-Bulk | GGA-PBE | optimized geometry" sg=P4/mmm e_above_lowest_polymorph_mev_per_atom=447 pbc="T T T"
Dy 3.457 0.000 0.000
O 1.689 0.000 2.119
O 3.457 2.119 2.119
Dy 0.000 0.000 0.000
O 5.225 2.119 0.000
O 1.689 2.119 0.000
Sn 1.435 2.119 2.119
O 5.225 0.000 2.119
Sn 5.480 2.119 2.119


Record 5
9
Lattice="-5.274 -0.676 7.338 -3.186 -2.479 -8.114 1.064 -2.974 0.491" Properties=species:S:1:pos:R:3 comment="TbGdTa | OQMD via LeMat-Bulk | GGA-PBE | optimized geometry" sg=P-62m delta_e_f_kj_per_mol_fu=125 pbc="T T T"
Gd -3.882 -1.878 -2.963
Ta -2.398 -2.580 -0.023
Tb -1.678 -0.215 2.334
Ta -1.550 -3.107 -5.058
Ta -2.915 -1.929 5.042
Gd 0.532 -1.487 0.245
Tb -5.769 -2.152 -0.529
Tb -1.013 -0.789 -2.581
Gd -4.578 -1.277 2.188


Record 6
14
Lattice="0.000 4.123 0.000 -5.199 2.061 0.019 0.418 -2.061 12.467" Properties=species:S:1:pos:R:3 comment="Er3FeSi3 | OQMD via LeMat-Bulk | GGA-PBE | optimized geometry" sg=C2/m energy_ry_per_atom=-0.4572 pbc="T T T"
Si -0.402 2.061 11.527
Fe -4.620 2.061 5.194
Si -4.186 4.123 9.469
Er -1.567 2.061 4.737
Si -3.682 4.123 5.707
Er -1.445 2.061 1.009
Er -1.058 0.000 9.605
Er -3.214 2.061 7.749
Er -3.336 2.061 11.478
Si -1.099 0.000 6.780
Er -3.724 4.123 2.882
Si -4.379 2.061 0.959
Fe -0.161 2.061 7.292
Si -0.595 0.000 3.017


Record 7
12
Lattice="-5.593 -2.695 -0.146 1.242 -2.700 2.255 -1.953 3.751 5.569" Properties=species:S:1:pos:R:3 comment="NbFeSi | OQMD via LeMat-Bulk | GGA-PBE | optimized geometry" sg=Pnma energy_ry_per_atom=-0.6289 pbc="T T T"
Nb -3.992 1.064 5.017
Nb -2.312 -2.708 2.660
Si -1.829 -0.475 5.068
Fe -1.717 1.082 6.871
Nb -6.544 -0.752 4.248
Si -4.475 -1.169 2.609
Fe -2.510 0.003 2.930
Si -1.146 -0.843 1.165
Fe -4.587 -2.726 0.805
Si -5.157 -0.801 6.512
Fe -3.794 -1.647 4.747
Nb 0.240 -0.892 3.429


Record 8
4
Lattice="3.535 0.000 0.000 -1.767 3.061 0.000 0.000 0.000 5.458" Properties=species:S:1:pos:R:3 comment="TcS | OQMD via LeMat-Bulk | GGA-PBE | optimized geometry" sg=P6_3/mmc e_above_lowest_polymorph_mev_per_atom=58 pbc="T T T"
Tc 0.000 0.000 0.000
S 1.767 1.020 1.365
Tc 0.000 0.000 2.729
S 0.000 2.041 4.094


Record 9
4
Lattice="0.000 3.179 3.179 3.179 0.000 3.179 3.179 3.179 0.000" Properties=species:S:1:pos:R:3 comment="Cd2CuB | OQMD via LeMat-Bulk | GGA-PBE | optimized geometry" sg=F-43m energy_ry_per_atom=-0.1572 pbc="T T T"
B 3.179 3.179 3.179
Cu 1.589 1.589 1.589
Cd 4.768 4.768 4.768
Cd 0.000 0.000 0.000


Record 10
12
Lattice="4.168 2.931 -5.852 -6.456 -0.532 4.272 3.210 6.816 5.700" Properties=species:S:1:pos:R:3 comment="HfGaPbS3 | OQMD via LeMat-Bulk | GGA-PBE | optimized geometry" sg=Cmcm energy_ry_per_atom=-0.4016 pbc="T T T"
Hf 1.605 3.408 2.850
Pb -2.782 2.108 2.960
Hf 0.000 0.000 0.000
Ga 0.127 3.056 0.189
S -3.154 4.872 7.695
S 4.076 4.343 -3.575
Pb 3.704 7.107 1.159
S -0.778 4.354 3.469
Ga 0.796 6.159 3.931
S 0.659 7.406 6.022
S 0.263 1.809 -1.902
S 1.700 4.861 0.650


Record 11
4
Lattice="0.000 3.492 3.492 3.492 0.000 3.492 3.492 3.492 0.000" Properties=species:S:1:pos:R:3 comment="YMgFeBi | OQMD via LeMat-Bulk | GGA-PBE | optimized geometry" sg=F-43m e_above_lowest_polymorph_mev_per_atom=73 pbc="T T T"
Mg 1.746 1.746 1.746
Y 3.492 3.492 3.492
Fe 5.238 5.238 5.238
Bi 0.000 0.000 0.000


Record 12
4
Lattice="0.000 3.238 3.238 3.238 0.000 3.238 3.238 3.238 0.000" Properties=species:S:1:pos:R:3 comment="ScInFePt | OQMD via LeMat-Bulk | GGA-PBE | optimized geometry" sg=F-43m e_above_lowest_polymorph_mev_per_atom=0 pbc="T T T"
Fe 4.856 4.856 4.856
In 0.000 0.000 0.000
Pt 1.619 1.619 1.619
Sc 3.238 3.238 3.238


Record 13
11
Lattice="3.639 -2.097 8.293 5.412 3.964 -6.435 -6.277 -0.188 6.854" Properties=species:S:1:pos:R:3 comment="Dy2Er2Lu3Te2Ir2 | OQMD via LeMat-Bulk | GGA-PBE | optimized geometry" sg=Imm2 e_above_lowest_polymorph_mev_per_atom=16 pbc="T T T"
Lu 3.338 0.434 2.981
Ir 1.260 1.827 4.260
Dy 1.416 -0.350 6.079
Lu 1.240 2.234 0.553
Er 0.006 -0.321 2.905
Ir 2.505 2.905 -2.890
Te 8.339 1.721 1.712
Lu -2.167 0.915 5.402
Er -1.656 -1.760 12.446
Dy 0.724 -0.948 10.049
Te -1.172 -1.112 7.604


Record 14
12
Lattice="-4.762 5.144 5.627 1.678 -3.259 -8.208 -7.342 -9.110 2.116" Properties=species:S:1:pos:R:3 comment="RbDyBiTe3 | OQMD via LeMat-Bulk | GGA-PBE | optimized geometry" sg=Cmcm energy_ry_per_atom=-0.2887 pbc="T T T"
Te -11.102 -4.787 5.947
Rb -4.910 0.666 2.533
Te -7.617 -5.147 1.519
Dy -5.212 -3.612 -0.232
Bi -0.428 -5.183 -7.096
Te -2.613 -6.520 -5.464
Te -7.812 -0.705 4.999
Te 0.677 -2.438 -6.412
Bi -9.997 -2.042 6.632
Dy -1.542 0.943 -1.290
Te -2.808 -2.077 -1.984
Rb -5.515 -7.890 -2.997


Record 15
25
Lattice="-3.099 -4.330 -2.511 -0.037 -0.507 6.418 -6.691 6.569 -1.648" Properties=species:S:1:pos:R:3 comment="Cu4Ag | OQMD via LeMat-Bulk | GGA-PBE | optimized geometry" sg=P1 e_above_lowest_polymorph_mev_per_atom=26 delta_e_f_kj_per_mol_fu=34 pbc="T T T"
Cu -4.782 -2.349 -2.430
Cu -8.386 1.624 -2.038
Cu -5.089 4.127 4.628
Cu -7.017 1.017 0.082
Cu -4.381 1.475 0.003
Cu -4.744 2.847 2.473
Cu -7.507 4.078 -1.867
Cu -8.623 2.914 0.198
Cu -3.311 2.083 4.473
Cu -2.296 -2.395 4.080
Cu -9.759 2.227 -4.134
Cu -2.481 -0.607 -0.097
Ag -1.413 0.121 4.283
Cu -6.391 4.712 2.500
Ag -2.891 0.766 2.080
Ag -5.573 0.362 2.194
Cu -3.288 -3.035 -0.316
Ag -5.074 -1.053 -0.051
Cu -7.318 2.311 2.348
Cu -3.631 -1.748 2.044
Ag -6.685 -0.400 -2.146
Cu -5.818 2.192 -1.922
Cu -1.077 -1.252 1.994
Cu -4.021 -0.397 4.268
Cu -6.154 3.402 0.295


Record 16
11
Lattice="-2.961 -0.529 1.043 2.121 -2.374 -0.042 9.551 7.981 31.147" Properties=species:S:1:pos:R:3 comment="Bi2Au9 | OQMD via LeMat-Bulk | GGA-PBE | optimized geometry" sg=P-3m1 energy_ry_per_atom=-0.2418 pbc="T T T"
Au 4.587 1.718 13.888
Au 4.775 3.990 15.573
Au 2.735 0.170 7.848
Au 4.123 3.360 18.260
Au 6.431 3.259 19.902
Au 5.975 4.908 24.300
Au 6.620 5.532 21.590
Bi 8.362 4.872 26.197
Bi 0.349 0.206 5.951
Au 2.279 1.819 12.246
Au 2.930 2.449 9.557


Record 17
9
Lattice="4.014 0.000 0.000 0.000 6.547 3.779 0.000 -6.547 3.779" Properties=species:S:1:pos:R:3 comment="Tb2YSn3PdPt2 | OQMD via LeMat-Bulk | GGA-PBE | optimized geometry" sg=Amm2 energy_ry_per_atom=-0.4449 pbc="T T T"
Pd 0.000 0.000 0.000
Tb 0.000 -2.668 1.540
Sn 2.007 0.000 1.950
Pt 2.007 2.183 3.778
Sn 2.007 4.858 2.804
Pt 2.007 -2.183 3.778
Sn 2.007 -4.858 2.804
Tb 0.000 2.668 1.540
Y 0.000 0.000 4.478


Record 18
3
Lattice="2.600 -2.444 1.701 -1.000 -3.755 0.727 1.633 -2.923 -2.102" Properties=species:S:1:pos:R:3 comment="FeReGe | OQMD via LeMat-Bulk | GGA-PBE | optimized geometry" sg=F-43m e_above_lowest_polymorph_mev_per_atom=0 pbc="T T T"
Ge 0.808 -2.281 0.082
Re 2.425 -6.842 0.245
Fe 0.000 0.000 0.000


Record 19
3
Lattice="0.000 3.322 3.322 3.322 0.000 3.322 3.322 3.322 0.000" Properties=species:S:1:pos:R:3 comment="PmNpBe | OQMD via LeMat-Bulk | GGA-PBE | optimized geometry" sg=F-43m e_above_lowest_polymorph_mev_per_atom=0 pbc="T T T"
Np 1.661 1.661 1.661
Pm 4.983 4.983 4.983
Be 0.000 0.000 0.000


Record 20
8
Lattice="4.675 0.000 0.000 0.000 4.675 0.000 0.000 0.000 6.672" Properties=species:S:1:pos:R:3 comment="Na2Mg2AlInPd2 | OQMD via LeMat-Bulk | GGA-PBE | optimized geometry" sg=P-4m2 energy_ry_per_atom=-0.2281 pbc="T T T"
In 0.000 0.000 3.336
Na 0.000 2.337 1.604
Mg 2.337 2.337 3.336
Pd 0.000 2.337 5.131
Mg 0.000 0.000 0.000
Pd 2.337 0.000 1.542
Al 2.337 2.337 0.000
Na 2.337 0.000 5.069


Record 21
9
Lattice="-1.067 -6.759 -2.824 5.846 4.015 -2.118 2.247 -1.644 3.086" Properties=species:S:1:pos:R:3 comment="UInPt | OQMD via LeMat-Bulk | GGA-PBE | optimized geometry" sg=P-62m energy_ry_per_atom=-0.5253 pbc="T T T"
U 3.122 -1.969 -0.524
U 4.525 1.514 0.311
Pt 1.124 -0.822 1.543
In -0.266 -1.685 -0.704
Pt 1.238 -3.167 -2.588
In 3.588 -2.059 -3.710
In 1.457 1.001 -0.528
Pt 3.542 0.424 -2.353
U 0.503 -4.754 -0.100


Record 22
6
Lattice="5.991 -1.861 6.397 0.539 -0.757 8.911 -3.962 -1.655 -7.864" Properties=species:S:1:pos:R:3 comment="PrErZr2Sb2 | OQMD via LeMat-Bulk | GGA-PBE | optimized geometry" sg=I4mm energy_ry_per_atom=-0.4825 pbc="T T T"
Sb 5.687 -2.280 13.331
Er 4.403 -1.765 10.321
Zr 1.025 -1.762 -0.709
Pr 2.099 -0.842 4.921
Sb 0.851 -0.341 1.996
Zr -1.701 -1.210 0.548


Record 23
12
Lattice="3.442 6.651 -0.993 -5.812 -4.095 2.555 4.673 -1.093 8.877" Properties=species:S:1:pos:R:3 comment="ZrTlAuS3 | OQMD via LeMat-Bulk | GGA-PBE | optimized geometry" sg=Cmcm e_above_lowest_polymorph_mev_per_atom=11 pbc="T T T"
Au 1.502 -0.492 7.753
S 4.123 5.811 1.413
Zr 2.337 -0.547 4.439
Au 0.802 1.955 2.687
Tl -2.142 -1.464 3.815
S -1.819 -4.348 9.026
S 2.269 -1.104 9.917
S 2.189 2.063 4.614
Zr 0.000 0.000 0.000
S 0.115 -0.600 5.826
S 0.035 2.567 0.522
Tl 4.446 2.927 6.624